[1]
# CaHfIr | Alexandria | PBE | optimized geometry
# Total DFT energy (no corrections), eV/atom: -7.581
# Space-group type: P4/nmm
data_CaHfIr
_chemical_formula_sum 'Ca2 Hf2 Ir2'
_cell_length_a 4.526
_cell_length_b 4.526
_cell_length_c 7.227
_cell_angle_alpha 90.00
_cell_angle_beta 90.00
_cell_angle_gamma 90.00
_space_group_name_H-M_alt 'P 1'
_space_group_IT_number 1
loop_
_space_group_symop_operation_xyz
'x,y,z'
loop_
_atom_site_label
_atom_site_type_symbol
_atom_site_fract_x
_atom_site_fract_y
_atom_site_fract_z
Ca1 Ca 0.250 0.250 0.134
Ca2 Ca 0.750 0.750 0.866
Hf1 Hf 0.250 0.750 0.500
Hf2 Hf 0.750 0.250 0.500
Ir1 Ir 0.250 0.250 0.694
Ir2 Ir 0.750 0.750 0.306

***

[2]
# KCaHf2Ir | Alexandria | PBE | optimized geometry
# Total DFT energy (no corrections), eV/atom: -4.238
# Space-group type: P4/mmm
data_KCaHf2Ir
_chemical_formula_sum 'K1 Ca1 Hf2 Ir1'
_cell_length_a 5.042
_cell_length_b 5.042
_cell_length_c 4.863
_cell_angle_alpha 90.00
_cell_angle_beta 90.00
_cell_angle_gamma 90.00
_space_group_name_H-M_alt 'P 1'
_space_group_IT_number 1
loop_
_space_group_symop_operation_xyz
'x,y,z'
loop_
_atom_site_label
_atom_site_type_symbol
_atom_site_fract_x
_atom_site_fract_y
_atom_site_fract_z
K1 K 0.000 0.000 0.000
Ca1 Ca 0.000 0.000 0.500
Hf1 Hf 0.000 0.500 0.500
Hf2 Hf 0.500 0.000 0.500
Ir1 Ir 0.500 0.500 0.000

***

[3]
# LiCaHfIr | Alexandria | PBE | optimized geometry
# Total DFT energy (no corrections), eV/atom: -5.973
# Space-group type: F-43m
data_LiCaHfIr
_chemical_formula_sum 'Li1 Ca1 Hf1 Ir1'
_cell_length_a 4.750
_cell_length_b 4.750
_cell_length_c 4.750
_cell_angle_alpha 60.00
_cell_angle_beta 60.00
_cell_angle_gamma 60.00
_space_group_name_H-M_alt 'P 1'
_space_group_IT_number 1
loop_
_space_group_symop_operation_xyz
'x,y,z'
loop_
_atom_site_label
_atom_site_type_symbol
_atom_site_fract_x
_atom_site_fract_y
_atom_site_fract_z
Li1 Li 0.000 0.000 0.000
Ca1 Ca 0.250 0.250 0.250
Hf1 Hf 0.750 0.750 0.750
Ir1 Ir 0.500 0.500 0.500

***

Q: Among the records above, which one has the lowest total DFT energy (no corrections)?
A: CaHfIr

***

Q: Which value of total DFT energy (no corrections) does entry 3 give?
A: -5.973 eV/atom

***

Q: Number 1 is which compound?
A: CaHfIr